No. 1
First-principles (GGA-PBE) data for a geometry-optimized Er4Tm3Th4 structure, as listed in the Alexandria database.

The structure in extended XYZ format:
```
11
Lattice="10.619 0.000 0.000 0.000 2.810 5.936 0.000 -2.810 5.936" Properties=species:S:1:pos:R:3 pbc="T T T"
Er 0.000 0.000 0.000
Er 2.169 0.000 5.892
Er 5.309 0.000 11.332
Er 8.450 0.000 5.892
Tm 2.271 0.000 9.553
Tm 5.309 0.000 7.676
Tm 8.348 0.000 9.553
Th 0.000 0.000 3.301
Th 3.097 0.000 1.911
Th 5.309 0.000 4.091
Th 7.522 0.000 1.911
```

Values from the calculation:
Its space group is Amm2, No. 38.

No. 2
First-principles (GGA-PBE) data for a geometry-optimized ErTm8Th4 structure, as listed in the Alexandria database.

The structure in extended XYZ format:
```
13
Lattice="3.663 2.115 8.775 -3.663 2.115 8.775 0.000 -4.230 8.775" Properties=species:S:1:pos:R:3 pbc="T T T"
Er 0.000 0.000 0.000
Tm 0.000 -1.857 10.461
Tm -1.608 0.929 10.461
Tm 0.000 0.000 7.381
Tm -1.608 -0.929 15.863
Tm 1.608 0.929 10.461
Tm 0.000 0.000 18.943
Tm 1.608 -0.929 15.863
Tm 0.000 1.857 15.863
Th -3.663 0.000 13.162
Th -1.832 1.057 4.387
Th 1.832 1.057 4.387
Th 0.000 0.000 13.162
```

Values from the calculation:
Its space group is R-3m, No. 166.

No. 3
First-principles (GGA-PBE) data for a geometry-optimized ErTm5Th4 structure, as listed in the Alexandria database.

The structure in extended XYZ format:
```
10
Lattice="3.451 0.000 0.000 -1.713 8.911 0.000 -0.006 -0.915 10.546" Properties=species:S:1:pos:R:3 pbc="T T T"
Er 0.000 0.000 0.000
Tm -0.003 -0.458 5.273
Tm 0.005 5.180 4.298
Tm -0.002 5.559 7.999
Tm 1.733 2.437 2.546
Tm 1.726 2.816 6.248
Th 0.001 2.412 9.655
Th 0.008 8.000 2.617
Th 1.724 -0.004 7.928
Th 1.731 5.584 0.891
```

Values from the calculation:
Its space group is P-1, No. 2. The value obtained for the energy relative to the lowest polymorph listed for this composition is 0.00 eV per formula unit.

No. 4
First-principles (GGA-PBE) data for a geometry-optimized ErTmTh2 structure, as listed in the Alexandria database.

The structure in extended XYZ format:
```
4
Lattice="0.000 3.972 3.972 3.972 0.000 3.972 3.972 3.972 0.000" Properties=species:S:1:pos:R:3 pbc="T T T"
Er 0.000 0.000 0.000
Tm 3.972 3.972 3.972
Th 1.986 1.986 1.986
Th 5.958 5.958 5.958
```

Values from the calculation:
Its space group is Fm-3m, No. 225. The value obtained for the energy relative to the lowest polymorph listed for this composition is 0.36 eV per formula unit.

No. 5
First-principles (GGA-PBE) data for a geometry-optimized Er12Tm7Th structure, as listed in the Alexandria database.

The structure in extended XYZ format:
```
20
Lattice="-5.588 5.588 5.588 5.588 -5.588 5.588 5.588 5.588 -5.588" Properties=species:S:1:pos:R:3 pbc="T T T"
Er 5.588 2.820 -2.820
Er 5.588 -2.820 2.820
Er 2.820 5.588 -2.820
Er 2.768 2.768 0.000
Er 2.768 0.000 2.768
Er 2.820 -2.820 5.588
Er 0.000 2.768 2.768
Er 5.588 2.820 2.820
Er -2.820 5.588 2.820
Er -2.820 2.820 5.588
Er 2.820 5.588 2.820
Er 2.820 2.820 5.588
Tm 2.794 2.794 -2.794
Tm 2.794 -2.794 2.794
Tm 5.588 0.000 0.000
Tm -2.794 2.794 2.794
Tm 0.000 5.588 0.000
Tm 0.000 0.000 5.588
Tm 2.794 2.794 2.794
Th 0.000 0.000 0.000
```

Values from the calculation:
Its space group is Im-3m, No. 229. The value obtained for the energy relative to the lowest polymorph listed for this composition is 10.75 eV per formula unit.

No. 6
First-principles (GGA-PBE) data for a geometry-optimized Er5Tm4Th structure, as listed in the Alexandria database.

The structure in extended XYZ format:
```
10
Lattice="5.780 -2.665 0.000 5.780 2.665 0.000 -1.367 0.000 10.248" Properties=species:S:1:pos:R:3 pbc="T T T"
Er 0.000 0.000 0.000
Er 1.875 0.000 9.193
Er 2.951 0.000 5.647
Er 7.243 0.000 4.601
Er 8.319 0.000 1.056
Tm 1.455 0.000 2.679
Tm 4.805 0.000 2.345
Tm 5.389 0.000 7.903
Tm 8.739 0.000 7.570
Th -0.683 0.000 5.124
```

Values from the calculation:
Its space group is C2/m, No. 12. The value obtained for the energy relative to the lowest polymorph listed for this composition is 0.00 eV per formula unit.

Table of formation energy (eV per atom), in record order: 0.200 0.229 0.228 0.120 0.779 0.187
Table of DOS at the Fermi energy (states/eV per atom), in record order: 1.517 1.090 1.331 1.169 1.268 1.544